The following is a GGA-PBE calculation of ZrSc2Tc after structural relaxation, from the Alexandria database.

Unit cell a=5.6506 b=5.6506 c=5.6506 alpha=138.05 beta=138.05 gamma=60.83
Closest atoms and distances in Å follow each position.
Element x y z (fractional)
Sc: 0.0000 0.0000 0.0000  4 Sc 2.86, 4 Tc 3.17, 4 Zr 3.17
Sc: 0.5000 0.5000 0.0000  4 Sc 2.86, 4 Zr 3.17, 4 Tc 3.17
Tc: 0.2500 0.7500 0.5000  4 Zr 2.86, 8 Sc 3.17
Zr: 0.7500 0.2500 0.5000  4 Tc 2.86, 8 Sc 3.17

## Properties
polymorph energy (0 for the lowest one): 190 meV/atom
VASP energy: -31.51 eV/cell

***

The following is a GGA-PBE calculation of BeTeAuI2 after structural relaxation, from the Alexandria database.

Unit cell a=5.1669 b=5.1669 c=5.1661 alpha=90.00 beta=90.00 gamma=90.00
Closest atoms and distances in Å follow each position.
Element x y z (fractional)
I: 0.0000 0.5000 0.0000  2 Be 2.58
I: 0.5000 0.0000 0.0000  2 Be 2.58
Be: 0.0000 0.0000 0.0000  2 Te 2.58, 4 I 2.58
Te: 0.0000 0.0000 0.5000  2 Be 2.58
Au: 0.5000 0.5000 0.5000  8 I 3.65, 4 Te 3.65

## Properties
polymorph energy (0 for the lowest one): 0 meV/atom
VASP energy: -10.65 eV/cell
ΔE_f (raw): 520 meV per atom

***

The following is a GGA-PBE calculation of Tb2PrNi9 after structural relaxation, from the Alexandria database.

Unit cell a=5.0152 b=5.0152 c=8.6380 alpha=73.12 beta=73.12 gamma=60.00
Closest atoms and distances in Å follow each position.
Element x y z (fractional)
Tb: 0.8603 0.8603 0.4191  12 Ni 2.87-3.06, 3 Tb 3.18
Tb: 0.1397 0.1397 0.5809  12 Ni 2.87-3.06, 3 Tb 3.18
Pr: 0.0000 0.0000 0.0000  18 Ni 2.90-3.22
Ni: 0.6672 0.6672 0.9985  6 Ni 2.48-2.50
Ni: 0.3328 0.3328 0.0015  6 Ni 2.48-2.50
Ni: 0.5000 0.5000 0.5000  6 Ni 2.51
Ni: 0.4167 0.4167 0.2488  7 Ni 2.48-2.51
Ni: 0.9178 0.4167 0.2488  7 Ni 2.48-2.51
Ni: 0.4167 0.9178 0.2488  7 Ni 2.48-2.51
Ni: 0.5833 0.5833 0.7512  7 Ni 2.48-2.51
Ni: 0.5833 0.0822 0.7512  7 Ni 2.48-2.51
Ni: 0.0822 0.5833 0.7512  7 Ni 2.48-2.51

## Properties
VASP energy: -70.52 eV/cell

***

The following is a GGA-PBE calculation of CuP4Se4I after structural relaxation, from the Alexandria database.

Unit cell a=10.0398 b=10.0398 c=12.5206 alpha=90.00 beta=90.00 gamma=96.28
Closest atoms and distances in Å follow each position.
Element x y z (fractional)
Cu: 0.1015 0.8985 0.5000  2 P 2.26
Cu: 0.3985 0.6015 0.0000  2 P 2.26
Cu: 0.6015 0.3985 0.0000  2 P 2.26
Cu: 0.8985 0.1015 0.5000  2 P 2.26
P: 0.7280 0.3613 0.1442  1 P 2.23, 1 Cu 2.26, 2 Se 2.27-2.29
P: 0.2280 0.8613 0.3558  1 P 2.23, 1 Cu 2.26, 2 Se 2.27-2.29
P: 0.8613 0.2280 0.3558  1 P 2.23, 1 Cu 2.26, 2 Se 2.27-2.29
P: 0.2569 0.0377 0.2469  1 P 2.23, 2 Se 2.30-2.31
P: 0.1387 0.7720 0.6442  1 P 2.23, 1 Cu 2.26, 2 Se 2.27-2.29
P: 0.9623 0.7431 0.7531  1 P 2.23, 2 Se 2.30-2.31
P: 0.2720 0.6387 0.8558  1 P 2.23, 1 Cu 2.26, 2 Se 2.27-2.29
P: 0.6387 0.2720 0.8558  1 P 2.23, 1 Cu 2.26, 2 Se 2.27-2.29
P: 0.7431 0.9623 0.7531  1 P 2.23, 2 Se 2.30-2.31
P: 0.2431 0.4623 0.7469  1 P 2.23, 2 Se 2.30-2.31
P: 0.3613 0.7280 0.1442  1 P 2.23, 1 Cu 2.26, 2 Se 2.27-2.29
P: 0.4623 0.2431 0.7469  1 P 2.23, 2 Se 2.30-2.31
P: 0.7569 0.5377 0.2531  1 P 2.23, 2 Se 2.30-2.31
P: 0.0377 0.2569 0.2469  1 P 2.23, 2 Se 2.30-2.31
P: 0.5377 0.7569 0.2531  1 P 2.23, 2 Se 2.30-2.31
P: 0.7720 0.1387 0.6442  1 P 2.23, 1 Cu 2.26, 2 Se 2.27-2.29
Se: 0.3216 0.8216 0.7500  2 P 2.27
Se: 0.1784 0.6784 0.2500  2 P 2.27
Se: 0.4601 0.4601 0.6889  2 P 2.30
Se: 0.0514 0.6453 0.8996  2 P 2.29-2.31
Se: 0.6453 0.0514 0.8996  2 P 2.29-2.31
Se: 0.5399 0.5399 0.3111  2 P 2.30
Se: 0.8216 0.3216 0.7500  2 P 2.27
Se: 0.6784 0.1784 0.2500  2 P 2.27
Se: 0.9601 0.9601 0.8111  2 P 2.30
Se: 0.8547 0.4486 0.3996  2 P 2.29-2.31
Se: 0.3547 0.9486 0.1004  2 P 2.29-2.31
Se: 0.5514 0.1453 0.6004  2 P 2.29-2.31
Se: 0.0399 0.0399 0.1889  2 P 2.30
Se: 0.9486 0.3547 0.1004  2 P 2.29-2.31
Se: 0.1453 0.5514 0.6004  2 P 2.29-2.31
Se: 0.4486 0.8547 0.3996  2 P 2.29-2.31
I: 0.8415 0.8415 0.4630  2 Cu 2.65
I: 0.1585 0.1585 0.5370  2 Cu 2.65
I: 0.3415 0.3415 0.0370  2 Cu 2.65
I: 0.6585 0.6585 0.9630  2 Cu 2.65

## Properties
VASP energy: -170.74 eV/cell
ΔE_f (raw): -146 meV per atom